Record 1
The following is a PBEsol calculation of crystalline ReBr2 at its relaxed geometry, from the Alexandria database.

The structure in POSCAR format:
```
ReBr2
1.0
3.1826 0.0000 0.0000
0.0000 3.1951 0.0000
0.0000 1.5975 12.8208
Br Re
4 2
Cartesian
0.7957 1.5975 1.6810
2.3870 3.1951 11.1398
0.7957 3.1951 7.9100
2.3870 1.5975 4.9108
0.7957 1.5975 9.8247
2.3870 3.1951 2.9962
```

Uncorrected formation energy   67.1 kJ per mole of atoms

=====

Record 2
The following is a PBEsol calculation of crystalline Al2CrPb at its relaxed geometry, from the Alexandria database.

The structure in POSCAR format:
```
Al2CrPb
1.0
-2.7092 -2.8440 0.1751
2.6773 -2.4098 2.2833
-1.8962 4.6519 2.0741
Pb Cr Al
1 1 2
Cartesian
0.3769 -0.1885 2.7693
-1.7733 1.8948 3.3389
2.6177 -2.3537 2.2730
-2.3844 -0.3394 1.7378
```

Formation enthalpy at 0 K   1.57 eV per formula unit

=====

Record 3
The following is a PBEsol calculation of crystalline Sr2LaAu at its relaxed geometry, from the Alexandria database.

The structure in POSCAR format:
```
Sr2LaAu
1.0
4.0673 0.0000 0.0000
0.0000 4.1627 -0.0162
0.0000 -2.0421 9.3435
Sr Au La
2 1 1
Cartesian
0.0000 -1.7838 8.9762
2.0336 2.3519 2.8372
0.0000 2.3650 5.3276
2.0336 0.2871 6.1851
```

Formation enthalpy at 0 K   -1.25 eV per formula unit
Excess energy over the best structure of this formula in the dataset   10.4 meV per atom

=====

Record 4
The following is a PBEsol calculation of crystalline KYAs2 at its relaxed geometry, from the Alexandria database.

The structure in POSCAR format:
```
KYAs2
1.0
-3.0618 2.5486 -0.2182
-1.1350 -0.9699 4.5979
2.8841 3.5907 1.4693
As K Y
2 1 1
Cartesian
1.4421 1.7953 0.7347
-0.5675 -0.4850 2.2990
-0.6563 2.5847 2.9246
-1.5309 1.2743 -0.1091
```

Formation enthalpy at 0 K   -2.05 eV per formula unit
Excess energy over the best structure of this formula in the dataset   93.2 meV per atom

=====

Record 5
The following is a PBEsol calculation of crystalline Ca2ZnHg at its relaxed geometry, from the Alexandria database.

The structure in POSCAR format:
```
Ca2ZnHg
1.0
-4.4636 2.1863 0.4707
-3.1379 -1.4792 3.5903
-0.9200 2.9831 3.8961
Zn Ca Hg
1 2 1
Cartesian
-2.1304 0.9225 1.9893
0.0000 0.0000 0.0000
-6.3912 2.7676 5.9678
-4.2608 1.8451 3.9786
```

Formation enthalpy at 0 K   -1.05 eV per formula unit
Excess energy over the best structure of this formula in the dataset   150.0 meV per atom

=====

Record 6
The following is a PBEsol calculation of crystalline KTl2Sb at its relaxed geometry, from the Alexandria database.

The structure in POSCAR format:
```
KTl2Sb
1.0
-2.9731 -1.5342 -1.3032
2.8838 -1.2368 -5.1227
1.7417 -3.7467 5.3834
Sb Tl K
1 2 1
Cartesian
1.4419 -0.6184 -2.5614
0.9494 -2.8719 1.2149
0.7029 -3.6458 -2.2575
-1.4865 -0.7671 -0.6516
```

Uncorrected formation energy   -14.9 kJ per mole of atoms

=====

Record 7
The following is a PBEsol calculation of crystalline SbTe2ClF at its relaxed geometry, from the Alexandria database.

The structure in POSCAR format:
```
SbTe2ClF
1.0
4.6941 0.0000 0.0000
0.0000 4.6941 0.0000
0.0000 0.0000 5.4939
Sb F Te Cl
1 1 2 1
Cartesian
0.0000 0.0000 2.7469
0.0000 0.0000 0.0000
0.0000 2.3471 0.0000
2.3471 0.0000 0.0000
2.3471 2.3471 2.7469
```

Uncorrected formation energy   2.4 kJ per mole of atoms

=====

Record 8
The following is a PBEsol calculation of crystalline Cu2SiMo at its relaxed geometry, from the Alexandria database.

The structure in POSCAR format:
```
Cu2SiMo
1.0
2.5786 0.0000 0.0000
0.0000 4.7315 0.0287
0.0000 -2.1323 4.2238
Cu Mo Si
2 1 1
Cartesian
0.0000 2.3657 0.0144
0.0000 -1.0661 2.1119
1.2893 0.0000 0.0000
1.2893 1.2996 2.1263
```

Uncorrected formation energy   8.1 kJ per mole of atoms

=====

Record 9
The following is a PBEsol calculation of crystalline NbIn2IrCl at its relaxed geometry, from the Alexandria database.

The structure in POSCAR format:
```
NbIn2IrCl
1.0
-0.1911 4.5482 0.5554
0.5505 -0.6504 5.5147
5.5481 0.2964 -0.5189
Cl Nb Ir In
1 1 1 2
Cartesian
2.9538 2.0971 2.7756
0.0000 0.0000 0.0000
-0.0955 2.2741 0.2777
2.7740 0.1482 -0.2594
0.2753 -0.3252 2.7574
```

Uncorrected formation energy   81.5 kJ per mole of atoms

=====

Record 10
The following is a PBEsol calculation of crystalline TiHgIN2 at its relaxed geometry, from the Alexandria database.

The structure in POSCAR format:
```
TiHgIN2
1.0
-2.5999 -2.1446 -2.1188
2.2336 -3.2494 0.5482
-2.9590 -1.2141 4.8598
I N Hg Ti
1 2 1 1
Cartesian
-1.4795 -0.6071 2.4299
1.1168 -1.6247 0.2741
-1.3000 -1.0723 -1.0594
-1.6626 -3.3041 1.6446
0.0000 0.0000 0.0000
```

Uncorrected formation energy   34.4 kJ per mole of atoms

=====

Record 11
The following is a PBEsol calculation of crystalline YTc2Br at its relaxed geometry, from the Alexandria database.

The structure in POSCAR format:
```
YTc2Br
1.0
3.2367 -0.0011 0.0000
-0.0067 4.2697 0.0000
-1.6150 -2.1343 5.2644
Y Tc Br
1 2 1
Cartesian
-0.0033 2.1348 0.0000
-0.8109 1.0677 2.6322
0.8109 -1.0677 2.6322
1.6184 -0.0006 0.0000
```

Uncorrected formation energy   33.9 kJ per mole of atoms
Excess energy over the best structure of this formula in the dataset   0.0 meV per atom

=====

Record 12
The following is a PBEsol calculation of crystalline CsTiSN2 at its relaxed geometry, from the Alexandria database.

The structure in POSCAR format:
```
CsTiSN2
1.0
4.1029 0.0000 0.0000
0.0000 4.1029 0.0000
0.0000 0.0000 5.9495
Cs S N Ti
1 1 2 1
Cartesian
0.0000 0.0000 0.0000
0.0000 0.0000 2.9747
0.0000 2.0514 0.0000
2.0514 0.0000 0.0000
2.0514 2.0514 2.9747
```

Uncorrected formation energy   204.2 kJ per mole of atoms

=====

Record 13
The following is a PBEsol calculation of crystalline YSc2Zn at its relaxed geometry, from the Alexandria database.

The structure in POSCAR format:
```
YSc2Zn
1.0
-2.7290 -0.7537 -2.0575
0.9745 -4.7392 0.4436
-2.2559 2.4996 5.0531
Y Sc Zn
1 2 1
Cartesian
-1.0725 -2.7618 -0.5424
-3.7666 -2.9741 3.1087
-2.9204 -0.4995 1.0798
-1.1386 -2.4977 2.4252
```

Formation enthalpy at 0 K   -0.53 eV per formula unit

=====

Record 14
The following is a PBEsol calculation of crystalline ErPO4 at its relaxed geometry, from the Alexandria database.

The structure in POSCAR format:
```
ErPO4
1.0
-0.3984 1.7083 -5.3921
-4.7573 0.1860 3.0798
3.6289 3.5631 2.5074
Er P O
2 2 8
Cartesian
0.3263 3.1093 -2.0204
-2.5779 0.9471 -1.1561
0.0000 0.0000 0.0000
-1.8531 2.3481 2.2155
-2.4921 1.9932 0.8514
1.8207 4.6473 -2.7506
-0.2673 1.2403 -0.8862
1.8661 3.1332 -0.2523
-0.4433 2.9722 2.0815
0.2406 2.0632 -4.0279
-0.4887 4.4863 -0.4169
-1.9843 2.8161 -2.2903
```

Uncorrected formation energy   -299.2 kJ per mole of atoms

=====

Record 15
The following is a PBEsol calculation of crystalline NaCa3Cu at its relaxed geometry, from the Alexandria database.

The structure in POSCAR format:
```
NaCa3Cu
1.0
5.6092 0.0000 0.0000
0.0000 5.6092 0.0000
0.0000 0.0000 5.6092
Na Ca Cu
1 3 1
Cartesian
2.8046 2.8046 2.8046
0.0000 2.8046 0.0000
0.0000 0.0000 2.8046
2.8046 0.0000 0.0000
0.0000 0.0000 0.0000
```

Formation enthalpy at 0 K   0.15 eV per formula unit

=====

Record 16
The following is a PBEsol calculation of crystalline HfNi4As2 at its relaxed geometry, from the Alexandria database.

The structure in POSCAR format:
```
HfNi4As2
1.0
3.7150 0.0000 0.0000
0.0000 6.9560 0.0000
0.0000 0.0000 6.9560
Hf Ni As
2 8 4
Cartesian
0.0000 3.4780 3.4780
1.8575 0.0000 0.0000
1.8575 4.1128 1.0808
1.8575 2.8432 5.8752
0.0000 0.6348 2.3972
0.0000 6.3212 4.5588
1.8575 1.0808 4.1128
1.8575 5.8752 2.8432
0.0000 2.3972 0.6348
0.0000 4.5588 6.3212
1.8575 4.9825 4.9825
1.8575 1.9735 1.9735
0.0000 1.5045 5.4515
0.0000 5.4515 1.5045
```

Formation enthalpy at 0 K   -3.89 eV per formula unit

=====

Record 17
The following is a PBEsol calculation of crystalline K2PAu at its relaxed geometry, from the Alexandria database.

The structure in POSCAR format:
```
K2PAu
1.0
3.1378 0.0000 0.0000
0.0000 3.1378 0.0000
0.0000 0.0000 9.5784
Au K P
1 2 1
Cartesian
1.5689 1.5689 4.7892
0.0000 0.0000 7.2643
0.0000 0.0000 2.3141
1.5689 1.5689 0.0000
```

Formation enthalpy at 0 K   0.21 eV per formula unit

=====

Record 18
The following is a PBEsol calculation of crystalline NiAgAu2 at its relaxed geometry, from the Alexandria database.

The structure in POSCAR format:
```
NiAgAu2
1.0
3.9738 0.0000 0.0000
0.0000 3.8554 0.0000
0.0000 0.0000 3.9737
Ag Au Ni
1 2 1
Cartesian
0.0000 1.9277 1.9868
0.0000 0.0000 0.0000
1.9869 0.0000 1.9868
1.9869 1.9277 0.0000
```

Formation enthalpy at 0 K   0.32 eV per formula unit
Excess energy over the best structure of this formula in the dataset   69.8 meV per atom

=====

Record 19
The following is a PBEsol calculation of crystalline SnAsOs2W at its relaxed geometry, from the Alexandria database.

The structure in POSCAR format:
```
SnAsOs2W
1.0
4.7590 0.0000 0.0000
0.0000 4.7590 0.0000
0.0000 0.0000 4.9046
As Os Sn W
1 2 1 1
Cartesian
2.3795 2.3795 2.4523
0.0000 2.3795 0.0000
2.3795 0.0000 0.0000
0.0000 0.0000 0.0000
0.0000 0.0000 2.4523
```

Formation enthalpy at 0 K   14.36 eV per formula unit

=====

Record 20
The following is a PBEsol calculation of crystalline FeNi2S4 at its relaxed geometry, from the Alexandria database.

The structure in POSCAR format:
```
FeNi2S4
1.0
-0.7165 -6.4431 -0.4001
4.6643 -3.6195 -2.7859
3.6827 -3.9135 3.7067
Fe Ni S
2 4 8
Cartesian
2.3321 -1.8097 -1.3929
1.9739 -5.0313 -1.5930
2.4144 -6.9226 1.7151
0.0000 0.0000 0.0000
4.1735 -3.7665 0.4604
5.2160 -7.0535 -1.1944
3.4699 -8.7715 1.7910
3.8479 -5.3730 2.0020
1.5296 -6.7042 -0.2163
5.6606 -10.4835 0.5250
1.9699 -3.4926 -0.0043
6.1009 -7.2718 0.7370
3.7826 -8.6031 -1.4813
4.1606 -5.2046 -1.2702
```

Uncorrected formation energy   -50.5 kJ per mole of atoms